1.
Density functional theory data (GGA-PBE) for a geometry-optimized SmScP2 structure.

- Energy above the lowest structure with this stoichiometry: 0.56 eV/f.u.
- Volume: 87.6 Å³/f.u.
- Raw total energy: -27.3 eV per cell

abc: 3.895 3.895 7.036
angles: 73.93 73.93 60.00
Element x y z (fractional)
Sm: 0.497 0.497 0.508
Sc: 0.669 0.669 0.993
P: 0.076 0.076 0.773
P: 0.258 0.258 0.226

2.
Density functional theory data (GGA-PBE) for a geometry-optimized Pa2Pd2O7 structure.

- Raw formation energy: -2.091 eV/atom
- Volume: 196.9 Å³/f.u.
- Raw total energy: -87.1 eV per cell

abc: 6.117 5.957 6.117
angles: 93.49 62.82 86.51
Each line ends with the local moment (μB).
Element x y z (fractional)
Pa: 0.674 0.500 0.674  0.00
Pa: 0.326 0.500 0.326  0.00
Pd: 0.256 0.125 0.744  0.56
Pd: 0.744 0.875 0.256  0.56
O: 0.410 0.320 0.972  0.02
O: 0.972 0.680 0.410  0.02
O: 0.590 0.680 0.028  0.02
O: 0.028 0.320 0.590  0.02
O: 0.567 0.284 0.433  0.03
O: 0.000 0.000 0.000  0.62
O: 0.433 0.716 0.567  0.03

3.
Density functional theory data (GGA-PBE) for a geometry-optimized Pm3InRh2 structure.

- Energy above the lowest structure with this stoichiometry: 0.33 eV/f.u.
- Volume: 161.8 Å³/f.u.
- Raw total energy: -70.1 eV per cell

abc: 6.701 7.264 8.285
angles: 116.00 113.85 90.00
Element x y z (fractional)
Pm: 0.500 0.250 0.000
Pm: 0.500 0.750 0.000
Pm: 0.784 0.034 0.568
Pm: 0.216 0.466 0.432
Pm: 0.216 0.966 0.432
Pm: 0.784 0.534 0.568
In: 0.000 0.500 0.000
In: 0.000 0.000 0.000
Rh: 0.565 0.362 0.725
Rh: 0.840 0.138 0.275
Rh: 0.160 0.862 0.725
Rh: 0.435 0.638 0.275